Entry 1:
First-principles (PBE) data for a relaxed structure of K2CuAs, as listed in Alexandria.

Cell: 5.9311 5.9311 5.9311 Å, 134.24 134.24 66.71°
Positions (direct):
K1 0.2500 0.7500 0.5000
K2 0.7500 0.2500 0.5000
Cu1 0.0000 0.0000 0.0000
As1 0.5000 0.5000 0.0000

## Properties
Symmetry: I4/mmm (139)
Energy, eV/atom: -2.543
N(E_F), states/eV/atom: 0.309



Entry 2:
First-principles (PBE) data for a relaxed structure of KCuAs2, as listed in Alexandria.

Cell: 5.5541 5.5541 5.5541 Å, 136.80 106.37 89.37°
Positions (direct):
K1 0.0000 0.0000 0.0000
Cu1 0.5000 0.5000 0.0000
As1 0.3436 0.8436 0.5000
As2 0.6564 0.1564 0.5000

## Properties
Symmetry: Immm (71)
Energy, eV/atom: -3.736
N(E_F), states/eV/atom: 0.450



no.,ρ (g/cm³)
1,3.41
2,3.90